No. 1
The following is a PBEsol calculation of LiVCuO4 after structural relaxation, from the Alexandria database.

a = 5.9156 Å, b = 5.9156 Å, c = 5.9156 Å
α = 123.09°, β = 122.06°, γ = 85.60°
Element x y z (fractional)
Li (0.5000, 0.0000, 0.0000)
Li (0.5000, 0.5000, 0.5000)
V (0.1347, 0.3847, 0.7500)
V (0.8653, 0.6153, 0.2500)
Cu (0.0000, 0.0000, 0.0000)
Cu (0.5000, 0.0000, 0.5000)
O (0.2148, 0.7276, 0.4872)
O (0.2508, 0.2363, 0.4855)
O (0.2508, 0.7653, 0.0145)
O (0.2597, 0.2724, 0.9872)
O (0.7403, 0.7276, 0.0128)
O (0.7492, 0.2347, 0.9855)
O (0.7492, 0.7637, 0.5145)
O (0.7852, 0.2724, 0.5128)

Results
Total moment ... 2.0 μB/cell
Density ... 4392 kg/m³
Polymorph energy (0 for the lowest one) ... 0.0000 eV per atom
Symmetry ... No. 74
ΔE_f (raw) ... -1.81 eV/atom


No. 2
The following is a PBEsol calculation of Li2V5CuO12 after structural relaxation, from the Alexandria database.

a = 6.6599 Å, b = 6.6599 Å, c = 5.5874 Å
α = 106.52°, β = 106.52°, γ = 76.16°
Element x y z (fractional)
Li (0.0000, 0.0000, 0.0000)
Li (0.5679, 0.4321, 0.5000)
V (0.1113, 0.3312, 0.5246)
V (0.3639, 0.6361, 0.0000)
V (0.4652, 0.0905, 0.9578)
V (0.6688, 0.8887, 0.4754)
V (0.9095, 0.5348, 0.0422)
Cu (0.1738, 0.8262, 0.5000)
O (0.0792, 0.7101, 0.0588)
O (0.2754, 0.0966, 0.5819)
O (0.2829, 0.5147, 0.6228)
O (0.2899, 0.9208, 0.9412)
O (0.3857, 0.3613, 0.0418)
O (0.4853, 0.7171, 0.3772)
O (0.6133, 0.0813, 0.3005)
O (0.6387, 0.6143, 0.9582)
O (0.7000, 0.0052, 0.8074)
O (0.9034, 0.7246, 0.4181)
O (0.9187, 0.3867, 0.6995)
O (0.9948, 0.3000, 0.1926)

Results
Total moment ... 4.0 μB/cell
Density ... 3879 kg/m³
Symmetry ... No. 5
ΔE_f (raw) ... -2.17 eV/atom


No. 3
The following is a PBEsol calculation of Li2V3CuO8 after structural relaxation, from the Alexandria database.

a = 8.1807 Å, b = 8.1835 Å, c = 8.2470 Å
α = 90.00°, β = 90.00°, γ = 90.00°
Element x y z (fractional)
Li (0.0066, 0.0033, 0.4917)
Li (0.1330, 0.1254, 0.1169)
Li (0.3670, 0.8746, 0.6169)
Li (0.4934, 0.9967, 0.9917)
Li (0.5066, 0.4967, 0.5083)
Li (0.6330, 0.3746, 0.8831)
Li (0.8670, 0.6254, 0.3831)
Li (0.9934, 0.5033, 0.0083)
V (0.1062, 0.6125, 0.6349)
V (0.1125, 0.3712, 0.3593)
V (0.1140, 0.8636, 0.8515)
V (0.3860, 0.1364, 0.3515)
V (0.3875, 0.6288, 0.8593)
V (0.3938, 0.3875, 0.1349)
V (0.6062, 0.8875, 0.3651)
V (0.6125, 0.1288, 0.6407)
V (0.6140, 0.6364, 0.1485)
V (0.8860, 0.3636, 0.6485)
V (0.8875, 0.8712, 0.1407)
V (0.8938, 0.1125, 0.8651)
Cu (0.2340, 0.7504, 0.2599)
Cu (0.2660, 0.2496, 0.7599)
Cu (0.7340, 0.7496, 0.7401)
Cu (0.7660, 0.2504, 0.2401)
O (0.0995, 0.8694, 0.1088)
O (0.1172, 0.3754, 0.6177)
O (0.1176, 0.1006, 0.8702)
O (0.1192, 0.8509, 0.6334)
O (0.1283, 0.5987, 0.4057)
O (0.1328, 0.6280, 0.8648)
O (0.1412, 0.3810, 0.1502)
O (0.1546, 0.1496, 0.3764)
O (0.3454, 0.8504, 0.8764)
O (0.3588, 0.6190, 0.6502)
O (0.3672, 0.3720, 0.3648)
O (0.3717, 0.4013, 0.9057)
O (0.3808, 0.1491, 0.1334)
O (0.3824, 0.8994, 0.3702)
O (0.3828, 0.6246, 0.1177)
O (0.4005, 0.1306, 0.6088)
O (0.5995, 0.6306, 0.8912)
O (0.6172, 0.1246, 0.3823)
O (0.6176, 0.3994, 0.1298)
O (0.6192, 0.6491, 0.3666)
O (0.6283, 0.9013, 0.5943)
O (0.6328, 0.8720, 0.1352)
O (0.6412, 0.1190, 0.8498)
O (0.6546, 0.3504, 0.6236)
O (0.8454, 0.6496, 0.1236)
O (0.8588, 0.8810, 0.3498)
O (0.8672, 0.1280, 0.6352)
O (0.8717, 0.0987, 0.0943)
O (0.8808, 0.3509, 0.8666)
O (0.8824, 0.6006, 0.6298)
O (0.8828, 0.8754, 0.8823)
O (0.9005, 0.3694, 0.3912)

Results
Total moment ... 8.1 μB/cell
Density ... 4310 kg/m³
Polymorph energy (0 for the lowest one) ... 0.0000 eV per atom
Symmetry ... No. 19
ΔE_f (raw) ... -2.13 eV/atom


No. 4
The following is a PBEsol calculation of LiV4CuO12 after structural relaxation, from the Alexandria database.

a = 4.9200 Å, b = 5.2822 Å, c = 7.2134 Å
α = 84.83°, β = 89.71°, γ = 89.53°
Element x y z (fractional)
Li (0.0000, 0.0000, 0.0000)
V (0.0072, 0.5676, 0.2781)
V (0.4919, 0.0481, 0.7956)
V (0.5092, 0.0459, 0.2827)
V (0.9918, 0.5510, 0.7811)
Cu (0.5026, 0.4679, 0.4958)
O (0.0996, 0.5957, 0.0565)
O (0.2000, 0.9002, 0.7631)
O (0.2107, 0.3076, 0.3662)
O (0.3107, 0.4172, 0.7345)
O (0.3247, 0.7799, 0.3725)
O (0.3856, 0.0968, 0.0612)
O (0.6054, 0.1162, 0.5574)
O (0.6990, 0.4067, 0.2636)
O (0.7070, 0.8069, 0.8558)
O (0.8166, 0.9094, 0.2468)
O (0.8177, 0.2966, 0.8669)
O (0.8582, 0.5995, 0.5588)

Results
Total moment ... 2.0 μB/cell
Density ... 4147 kg/m³
Polymorph energy (0 for the lowest one) ... 0.0263 eV per atom
Symmetry ... No. 1
ΔE_f (raw) ... -1.96 eV/atom


The highest density belongs to which entry?
LiVCuO4